Record 1
# Pm5Dy2Tm3 (GGA-PBE, optimized geometry)
# - Formation energy: 0.188 eV/atom
data_Pm5Dy2Tm3
_chemical_formula_sum 'Pm20 Dy8 Tm12'
_cell_length_a 10.6680
_cell_length_b 14.9319
_cell_length_c 9.9085
_cell_angle_alpha 90.00
_cell_angle_beta 122.56
_cell_angle_gamma 90.00
_space_group_name_H-M_alt 'C 1 2/c 1'
_space_group_IT_number 15
loop_
_space_group_symop_operation_xyz
'x,y,z'
'-x,-y,-z'
'-x,y,-z+1/2'
'x,-y,z+1/2'
'x+1/2,y+1/2,z'
'-x+1/2,-y+1/2,-z'
'-x+1/2,y+1/2,-z+1/2'
'x+1/2,-y+1/2,z+1/2'
loop_
_atom_site_label
_atom_site_fract_x
_atom_site_fract_y
_atom_site_fract_z
Pm1 0.0000 0.0198 0.2500
Pm2 0.0000 0.2283 0.2500
Pm3 0.0000 0.4788 0.7500
Pm4 0.2453 0.3693 0.2401
Dy1 0.1502 0.1291 0.0549
Tm1 0.0000 0.2744 0.7500
Tm2 0.1546 0.3742 0.5563

Record 2
# Ac2Si3Pd12Rh (GGA-PBE, optimized geometry)
# - E_form (uncorrected): -0.29 eV/atom
data_Ac2Si3Pd12Rh
_chemical_formula_sum 'Ac6 Si9 Pd36 Rh3'
_cell_length_a 8.4488
_cell_length_b 8.4488
_cell_length_c 17.7629
_cell_angle_alpha 90.00
_cell_angle_beta 90.00
_cell_angle_gamma 120.00
_space_group_name_H-M_alt 'R -3 m'
_space_group_IT_number 166
_space_group_name_Hall '-R 3 2"'
loop_
_atom_site_label
_atom_site_fract_x
_atom_site_fract_y
_atom_site_fract_z
Ac1 0.0000 0.0000 0.1132
Si1 0.0000 0.5000 0.0000
Pd1 0.0038 0.5019 0.8714
Pd2 0.0391 0.5196 0.3633
Rh1 0.0000 0.0000 0.5000

Number 1: calculated volume 33.258 Å³ per atom, magnetic moment 0.000 μB per atom. Number 2: calculated volume 20.335 Å³ per atom, magnetic moment 0.000 μB per atom.